Below is crystalline CaMgAg3 at its relaxed geometry, with properties calculated at the GGA-PBE level.

a b c (Å): 6.7681 6.7681 5.8195
angles (deg): 90.00 90.00 120.00
Space group P6_3/mmc (No. 194)
One atom of each set of equivalent atoms:
Ca (0.3333, 0.6667, 0.2500) [2 per cell]
Mg (0.0000, 0.0000, 0.0000) [2 per cell]
Ag (0.1966, 0.3932, 0.7500) [6 per cell]

Calculated values
Final energy (eV/cell): -25.736
Calculated formation energy (eV per atom): -0.14
Energy relative to the lowest polymorph listed for this composition (meV/atom): 0